ScBrOF2: optimized geometry, PBE.

a = 4.0096 Å, b = 4.0096 Å, c = 4.5494 Å
α = 90.00°, β = 90.00°, γ = 90.00°
With the nearest neighbours (Å) after each atom.
Space group P4/mmm (No. 123)
Asymmetric unit:
Sc (0.0000, 0.0000, 0.0000) (multiplicity 1)  4 F 2.00
Br (0.5000, 0.5000, 0.5000) (multiplicity 1)  4 O 2.84, 8 F 3.03
O (0.0000, 0.0000, 0.5000) (multiplicity 1)  2 Sc 2.27
F (0.0000, 0.5000, 0.0000) (multiplicity 2)  2 Sc 2.00

E_form (uncorrected) = -2.218 eV/atom
Mass density = 4.06 g/cm3

ScBrOF2: optimized geometry, PBE.

a = 4.8845 Å, b = 4.8845 Å, c = 3.7448 Å
α = 90.00°, β = 90.00°, γ = 90.00°
With the nearest neighbours (Å) after each atom.
Space group P4/mmm (No. 123)
Asymmetric unit:
Sc (0.0000, 0.0000, 0.0000) (multiplicity 1)  8 F 3.08
Br (0.5000, 0.5000, 0.5000) (multiplicity 1)  2 O 1.87
O (0.5000, 0.5000, 0.0000) (multiplicity 1)  2 Br 1.87
F (0.0000, 0.5000, 0.5000) (multiplicity 2)  2 Br 2.44

E_form (uncorrected) = -0.553 eV/atom
Mass density = 3.32 g/cm3

Se2BrOF: optimized geometry, PBE.

a = 4.3669 Å, b = 4.3669 Å, c = 4.7820 Å
α = 90.00°, β = 90.00°, γ = 90.00°
With the nearest neighbours (Å) after each atom.
Space group P4/mmm (No. 123)
Asymmetric unit:
Se (0.0000, 0.5000, 0.0000) (multiplicity 2)  2 O 2.18
Br (0.0000, 0.0000, 0.5000) (multiplicity 1)  2 O 2.39
O (0.0000, 0.0000, 0.0000) (multiplicity 1)  4 Se 2.18, 2 Br 2.39
F (0.5000, 0.5000, 0.5000) (multiplicity 1)  4 Br 3.09, 8 Se 3.24

E_form (uncorrected) = 0.505 eV/atom
Mass density = 4.97 g/cm3